## Tm6Si2SbTe3 (PBE)

Data for a relaxed Tm6Si2SbTe3 crystal.

Cell lengths 9.524, 9.524, 8.569 Å; angles 103.52, 103.52, 25.60 degrees
Fractional positions:
Tm 0.013 0.013 0.251
Tm 0.325 0.325 0.434
Tm 0.332 0.332 0.887
Tm 0.668 0.668 0.113
Tm 0.675 0.675 0.566
Tm 0.987 0.987 0.749
Si 0.168 0.168 0.336
Si 0.832 0.832 0.664
Sb 0.500 0.500 0.000
Te 0.163 0.163 0.834
Te 0.500 0.500 0.500
Te 0.837 0.837 0.166

Results
The calculation puts the formation energy from raw total energies at -1.113 eV per atom. The theoretical density is 8.0 g/cm3. For the total magnetization, the calculation gives 0.00 Bohr magnetons per cell.

=====

## MgScCdRu (PBE)

Data for a relaxed MgScCdRu crystal.

Cell lengths 4.687, 4.687, 4.687 Å; angles 60.00, 60.00, 60.00 degrees
Fractional positions:
Mg 0.000 0.000 0.000
Sc 0.500 0.500 0.500
Cd 0.750 0.750 0.750
Ru 0.250 0.250 0.250

Results
The calculation puts the formation energy at -0.1871 eV/atom. The theoretical density is 6.4 g/cm3. For the total magnetization, the calculation gives 0.00 Bohr magnetons per cell.

=====

> Look up the theoretical density of the first one.

8.0 g/cm3

=====

Repeat the first record exactly.
## Tm6Si2SbTe3 (PBE)

Data for a relaxed Tm6Si2SbTe3 crystal.

Cell lengths 9.524, 9.524, 8.569 Å; angles 103.52, 103.52, 25.60 degrees
Fractional positions:
Tm 0.013 0.013 0.251
Tm 0.325 0.325 0.434
Tm 0.332 0.332 0.887
Tm 0.668 0.668 0.113
Tm 0.675 0.675 0.566
Tm 0.987 0.987 0.749
Si 0.168 0.168 0.336
Si 0.832 0.832 0.664
Sb 0.500 0.500 0.000
Te 0.163 0.163 0.834
Te 0.500 0.500 0.500
Te 0.837 0.837 0.166

Results
The calculation puts the formation energy from raw total energies at -1.113 eV per atom. The theoretical density is 8.0 g/cm3. For the total magnetization, the calculation gives 0.00 Bohr magnetons per cell.

=====

> Which value of theoretical density does entry 1 give?

8.0 g/cm3

=====

> The highest theoretical density belongs to which entry?

Tm6Si2SbTe3